Entry 1:
This record from the Alexandria database describes FeRuW after structural relaxation. The functional is PBE-GGA.

Output
total moment = 4.85 μB per cell
raw total energy = -9.588 eV/atom
ΔH_f (0 K) = 643 meV per atom
relative energy among the computed polymorphs = 531 meV per atom

a = 5.799 Å, b = 5.799 Å, c = 5.799 Å
α = 90.00°, β = 90.00°, γ = 90.00°
Space group F-43m (No. 216)
Unique sites:
Fe (0.000, 0.000, 0.000) (multiplicity 4)
Ru (0.000, 0.000, 0.500) (multiplicity 4)
W (0.250, 0.250, 0.750) (multiplicity 4)

Entry 2:
This record from the Alexandria database describes FeRu2W after structural relaxation. The functional is PBE-GGA.

Output
total moment = 15.71 μB per cell
raw total energy = -9.903 eV/atom
ΔH_f (0 K) = 89 meV per atom
relative energy among the computed polymorphs = 73 meV per atom

a = 6.116 Å, b = 6.116 Å, c = 6.116 Å
α = 90.00°, β = 90.00°, γ = 90.00°
Space group Fm-3m (No. 225)
Unique sites:
Fe (0.000, 0.000, 0.000) (multiplicity 4)
Ru (0.250, 0.250, 0.250) (multiplicity 8)
W (0.000, 0.000, 0.500) (multiplicity 4)

Entry 3:
This record from the Alexandria database describes Fe2RuW after structural relaxation. The functional is PBE-GGA.

Output
total moment = 2.77 μB per cell
raw total energy = -9.630 eV/atom
ΔH_f (0 K) = 159 meV per atom
relative energy among the computed polymorphs = 98 meV per atom

a = 8.622 Å, b = 2.664 Å, c = 4.568 Å
α = 90.00°, β = 99.92°, γ = 90.00°
Space group Cm (No. 8)
Unique sites:
Fe (0.000, 0.000, 0.000) (multiplicity 2)
Fe (0.243, 0.500, 0.232) (multiplicity 2)
Ru (0.489, 0.000, 0.454) (multiplicity 2)
W (0.248, 0.000, 0.747) (multiplicity 2)

Entry 4:
This record from the Alexandria database describes FeRu2W after structural relaxation. The functional is PBE-GGA.

Output
total moment = 6.73 μB per cell
raw total energy = -9.809 eV/atom
ΔH_f (0 K) = 183 meV per atom
relative energy among the computed polymorphs = 166 meV per atom

a = 3.076 Å, b = 4.243 Å, c = 8.697 Å
α = 90.00°, β = 90.00°, γ = 90.00°
Space group Imm2 (No. 44)
Unique sites:
Fe (0.000, 0.000, 0.000) (multiplicity 2)
Ru (0.000, 0.000, 0.510) (multiplicity 2)
Ru (0.000, 0.500, 0.738) (multiplicity 2)
W (0.000, 0.500, 0.265) (multiplicity 2)

Entry 5:
This record from the Alexandria database describes Fe2RuW after structural relaxation. The functional is PBE-GGA.

Output
total moment = 0.00 μB per cell
raw total energy = -9.609 eV/atom
ΔH_f (0 K) = 179 meV per atom
relative energy among the computed polymorphs = 118 meV per atom

a = 2.655 Å, b = 2.655 Å, c = 7.248 Å
α = 90.00°, β = 90.00°, γ = 90.00°
Space group P4/mmm (No. 123)
Unique sites:
Fe (0.000, 0.000, 0.240) (multiplicity 2)
Ru (0.500, 0.500, 0.000) (multiplicity 1)
W (0.500, 0.500, 0.500) (multiplicity 1)

Entry 6:
This record from the Alexandria database describes Fe2RuW after structural relaxation. The functional is PBE-GGA.

Output
total moment = 20.04 μB per cell
raw total energy = -9.638 eV/atom
ΔH_f (0 K) = 150 meV per atom
relative energy among the computed polymorphs = 89 meV per atom

a = 5.974 Å, b = 5.974 Å, c = 5.974 Å
α = 90.00°, β = 90.00°, γ = 90.00°
Space group Fm-3m (No. 225)
Unique sites:
Fe (0.250, 0.250, 0.250) (multiplicity 8)
Ru (0.000, 0.000, 0.000) (multiplicity 4)
W (0.000, 0.000, 0.500) (multiplicity 4)

Entry 7:
This record from the Alexandria database describes FeRu2W after structural relaxation. The functional is PBE-GGA.

Output
total moment = 2.25 μB per cell
raw total energy = -9.936 eV/atom
ΔH_f (0 K) = 55 meV per atom
relative energy among the computed polymorphs = 39 meV per atom

a = 3.785 Å, b = 3.785 Å, c = 7.702 Å
α = 90.00°, β = 90.00°, γ = 90.00°
Space group I-4m2 (No. 119)
Unique sites:
Fe (0.000, 0.000, 0.000) (multiplicity 2)
Ru (0.000, 0.000, 0.500) (multiplicity 2)
Ru (0.000, 0.500, 0.750) (multiplicity 2)
W (0.000, 0.500, 0.250) (multiplicity 2)

Entry 8:
This record from the Alexandria database describes Fe2RuW after structural relaxation. The functional is PBE-GGA.

Output
total moment = 2.77 μB per cell
raw total energy = -9.691 eV/atom
ΔH_f (0 K) = 97 meV per atom
relative energy among the computed polymorphs = 36 meV per atom

a = 3.716 Å, b = 3.716 Å, c = 7.426 Å
α = 90.00°, β = 90.00°, γ = 90.00°
Space group I4/mmm (No. 139)
Unique sites:
Fe (0.000, 0.500, 0.250) (multiplicity 4)
Ru (0.000, 0.000, 0.000) (multiplicity 2)
W (0.000, 0.000, 0.500) (multiplicity 2)